No. 1
Density functional theory data (PBE) for an optimized crystal structure of NaZn2Ga2.

Cell and atoms, written as extended XYZ:
```
5
Lattice="-0.881 5.457 2.988 -5.202 1.465 3.206 4.223 -4.606 -0.657" Properties=species:S:1:pos:R:3 pbc="T T T"
Zn 0.150 2.156 2.714
Na 0.000 0.000 0.000
Zn -2.010 0.160 2.823
Ga -3.724 4.237 3.792
Ga -2.359 2.685 2.403
```

Output
Theoretical density, g cm⁻³: 5.06
Space-group type: I4/mmm
Relative energy among the computed polymorphs, meV per atom: 0.0



No. 2
Density functional theory data (PBE) for an optimized crystal structure of Na4ZnGa3.

Cell and atoms, written as extended XYZ:
```
8
Lattice="-0.181 -3.943 2.795 4.785 -0.542 -0.455 0.974 3.910 5.580" Properties=species:S:1:pos:R:3 pbc="T T T"
Na 0.487 1.955 2.790
Na 2.302 -2.243 1.170
Ga 3.124 2.668 3.967
Ga 0.151 -1.000 2.783
Ga 2.789 -0.288 3.960
Zn 0.000 0.000 0.000
Na 0.643 0.973 5.600
Na 2.633 0.694 1.150
```

Output
Theoretical density, g cm⁻³: 3.78
Total energy, eV/atom: -1.9847
Space-group type: P-4m2



No. 3
Density functional theory data (PBE) for an optimized crystal structure of NaZrGa.

Cell and atoms, written as extended XYZ:
```
3
Lattice="0.000 3.293 3.293 3.293 0.000 3.293 3.293 3.293 0.000" Properties=species:S:1:pos:R:3 pbc="T T T"
Ga 0.000 0.000 0.000
Zr 4.939 4.939 4.939
Na 1.646 1.646 1.646
```

Output
Theoretical density, g cm⁻³: 4.28
Total moment, μB per atom: 0.000
Space-group type: F-43m
Relative energy among the computed polymorphs, meV per atom: 0.0



No. 4
Density functional theory data (PBE) for an optimized crystal structure of Nb2Ga.

Cell and atoms, written as extended XYZ:
```
6
Lattice="3.926 -0.491 3.720 -0.370 -3.810 3.852 3.318 -4.298 -0.105" Properties=species:S:1:pos:R:3 pbc="T T T"
Ga 0.000 0.000 0.000
Nb 4.481 -3.469 2.741
Nb 2.638 -3.225 4.719
Nb 4.296 -5.374 4.667
Ga 1.719 -2.150 1.867
Nb 2.333 -5.129 2.807
```

Output
Theoretical density, g cm⁻³: 7.49
Total energy, eV/atom: -7.3963
Total moment, μB per atom: 0.001
Space-group type: Fd-3m



Question: Among the records above, which one has the highest theoretical density?
Answer: Nb2Ga



Question: Which value of theoretical density does entry 2 give?
Answer: 3.78 g cm⁻³